Record 1
Entry from the Alexandria database: crystalline K2AcBiF8 at its relaxed geometry (PBE-GGA).

a = 4.1405 Å, b = 6.2811 Å, c = 8.2502 Å
α = 90.00°, β = 90.00°, γ = 90.00°
Closest atoms and distances in Å follow each position.
Space group Pmmm (No. 47)
Symmetry-distinct sites (fractional):
K  0.0000  0.0000  0.2399 [2 per cell]  8 F 2.71-2.76
Ac  0.5000  0.5000  0.5000 [1 per cell]  8 F 2.51-2.54
Bi  0.5000  0.5000  0.0000 [1 per cell]  8 F 2.39-2.44
F  0.0000  0.2754  0.5000 [2 per cell]  2 Ac 2.51, 2 K 2.76
F  0.0000  0.2938  0.0000 [2 per cell]  2 Bi 2.44, 1 F 2.59, 2 K 2.71
F  0.5000  0.2842  0.2391 [4 per cell]  1 Bi 2.39, 1 Ac 2.54

Summary:
For the energy relative to the elements, uncorrected, the calculation gives -307.9 kJ per mole of atoms. For the total energy, the calculation gives -63.4 eV/f.u.

---

Record 2
Entry from the Alexandria database: crystalline RbSc2C at its relaxed geometry (PBE-GGA).

a = 9.9822 Å, b = 9.9822 Å, c = 9.9822 Å
α = 90.00°, β = 90.00°, γ = 90.00°
Closest atoms and distances in Å follow each position.
Space group Fd-3m (No. 227, origin choice 2)
Symmetry-distinct sites (fractional):
Rb  0.1250  0.1250  0.1250 [8 per cell]  12 Sc 4.14, 4 Rb 4.32, 4 C 4.32
Sc  0.0000  0.0000  0.5000 [16 per cell]  2 C 2.16
C  0.1250  0.1250  0.6250 [8 per cell]  4 Sc 2.16

Summary:
Its formation energy is 0.311 eV/atom. For the total energy, the calculation gives -21.6 eV/f.u.

---

Which formula does entry 2 have? RbSc2C

---

Please write out number 1 again, unchanged.
Entry from the Alexandria database: crystalline K2AcBiF8 at its relaxed geometry (PBE-GGA).

a = 4.1405 Å, b = 6.2811 Å, c = 8.2502 Å
α = 90.00°, β = 90.00°, γ = 90.00°
Closest atoms and distances in Å follow each position.
Space group Pmmm (No. 47)
Symmetry-distinct sites (fractional):
K  0.0000  0.0000  0.2399 [2 per cell]  8 F 2.71-2.76
Ac  0.5000  0.5000  0.5000 [1 per cell]  8 F 2.51-2.54
Bi  0.5000  0.5000  0.0000 [1 per cell]  8 F 2.39-2.44
F  0.0000  0.2754  0.5000 [2 per cell]  2 Ac 2.51, 2 K 2.76
F  0.0000  0.2938  0.0000 [2 per cell]  2 Bi 2.44, 1 F 2.59, 2 K 2.71
F  0.5000  0.2842  0.2391 [4 per cell]  1 Bi 2.39, 1 Ac 2.54

Summary:
For the energy relative to the elements, uncorrected, the calculation gives -307.9 kJ per mole of atoms. For the total energy, the calculation gives -63.4 eV/f.u.

---

Number 2 is which compound? RbSc2C